Record 1
Compound: MgPdO
Source: Alexandria
Functional: PBE
Structure: relaxed

Formation energy from raw total energies in meV/atom: -1086
Space-group type: P4mm (99)

a = 3.136 Å, b = 3.136 Å, c = 7.906 Å
α = 90.00°, β = 90.00°, γ = 90.00°
Fractional coordinates of all 6 atoms:
Mg 0.000 0.000 0.000
Mg 0.000 0.000 0.481
Pd 0.500 0.500 0.185
Pd 0.500 0.500 0.775
O 0.000 0.000 0.746
O 0.500 0.500 0.472



Record 2
Compound: MgPd3O
Source: Alexandria
Functional: PBE
Structure: relaxed

Formation energy from raw total energies in meV/atom: -285
Energy above the lowest structure with this stoichiometry in meV per atom: 0
Space-group type: Pm-3m (221)

a = 4.240 Å, b = 4.240 Å, c = 4.240 Å
α = 90.00°, β = 90.00°, γ = 90.00°
Fractional coordinates of all 5 atoms:
Mg 0.000 0.000 0.000
Pd 0.000 0.500 0.500
Pd 0.500 0.000 0.500
Pd 0.500 0.500 0.000
O 0.500 0.500 0.500



Record 3
Compound: MgPd2O2
Source: Alexandria
Functional: PBE
Structure: relaxed

Formation energy from raw total energies in meV/atom: -167
Energy above the lowest structure with this stoichiometry in meV per atom: 102
Space-group type: P4/mbm (127)

a = 6.734 Å, b = 6.734 Å, c = 3.057 Å
α = 90.00°, β = 90.00°, γ = 90.00°
Fractional coordinates of all 10 atoms:
Mg 0.000 0.000 0.000
Mg 0.500 0.500 0.000
Pd 0.132 0.368 0.000
Pd 0.368 0.868 0.000
Pd 0.632 0.132 0.000
Pd 0.868 0.632 0.000
O 0.222 0.722 0.500
O 0.278 0.222 0.500
O 0.722 0.778 0.500
O 0.778 0.278 0.500



Record 4
Compound: MgPdO
Source: Alexandria
Functional: PBE
Structure: relaxed

Formation energy from raw total energies in meV/atom: -1210
Space-group type: P6_3/mmc (194)

a = 3.342 Å, b = 3.342 Å, c = 9.077 Å
α = 90.00°, β = 90.00°, γ = 120.00°
Fractional coordinates of all 6 atoms:
Mg 0.333 0.667 0.250
Mg 0.667 0.333 0.750
Pd 0.000 0.000 0.000
Pd 0.000 0.000 0.500
O 0.000 0.000 0.250
O 0.000 0.000 0.750



Record 5
Compound: Mg2Pd3O8
Source: Alexandria
Functional: PBE
Structure: relaxed

Formation energy from raw total energies in meV/atom: -1074
Space-group type: C2/m (12)

a = 5.794 Å, b = 5.794 Å, c = 5.259 Å
α = 100.10°, β = 100.10°, γ = 62.74°
Fractional coordinates of all 13 atoms:
Mg 0.205 0.205 0.089
Mg 0.795 0.795 0.911
Pd 0.248 0.752 0.500
Pd 0.500 0.500 0.000
Pd 0.752 0.248 0.500
O 0.108 0.108 0.387
O 0.150 0.604 0.135
O 0.394 0.394 0.628
O 0.396 0.850 0.865
O 0.604 0.150 0.135
O 0.606 0.606 0.372
O 0.850 0.396 0.865
O 0.892 0.892 0.613



Record 6
Compound: MgPdO
Source: Alexandria
Functional: PBE
Structure: relaxed

Formation energy from raw total energies in meV/atom: -1349
Space-group type: P4/mmm (123)

a = 2.897 Å, b = 2.897 Å, c = 4.608 Å
α = 90.00°, β = 90.00°, γ = 90.00°
Fractional coordinates of all 3 atoms:
Mg 0.000 0.000 0.000
Pd 0.500 0.500 0.500
O 0.500 0.500 0.000



Record 7
Compound: MgPdO
Source: Alexandria
Functional: PBE
Structure: relaxed

Formation energy from raw total energies in meV/atom: -1152
Space-group type: P4/nmm (129)

a = 3.828 Å, b = 3.828 Å, c = 5.771 Å
α = 90.00°, β = 90.00°, γ = 90.00°
Fractional coordinates of all 6 atoms:
Mg 0.250 0.250 0.090
Mg 0.750 0.750 0.910
Pd 0.250 0.250 0.568
Pd 0.750 0.750 0.432
O 0.250 0.750 0.000
O 0.750 0.250 0.000



Record 8
Compound: MgPdO
Source: Alexandria
Functional: PBE
Structure: relaxed

Formation energy from raw total energies in meV/atom: -1179
Space-group type: Cm (8)

a = 6.550 Å, b = 6.550 Å, c = 4.169 Å
α = 96.84°, β = 96.84°, γ = 26.93°
Fractional coordinates of all 6 atoms:
Mg 0.000 0.000 0.000
Mg 0.158 0.158 0.446
Pd 0.397 0.397 0.536
Pd 0.779 0.779 0.883
O 0.167 0.167 0.952
O 0.549 0.549 0.318